1.
This record from Alexandria via LeMat-Bulk describes AcCeSc2 after structural relaxation. The functional is PBE-GGA.

- energy of formation (meV/atom) = 153
- D(E_F) (states/eV per atom) = 2.065

abc: 5.5772 5.5772 5.5772
angles: 60.00 60.00 60.00
Last column: nearest neighbours and their distance in Å.
Element x y z (fractional)
Sc (0.2500, 0.2500, 0.2500)  4 Ce 3.42, 4 Ac 3.42
Sc (0.7500, 0.7500, 0.7500)  4 Ac 3.42, 4 Ce 3.42
Ac (0.0000, 0.0000, 0.0000)  8 Sc 3.42
Ce (0.5000, 0.5000, 0.5000)  8 Sc 3.42

***

2.
This record from Alexandria via LeMat-Bulk describes AcCeSc after structural relaxation. The functional is PBE-GGA.

- energy of formation (meV/atom) = 161
- D(E_F) (states/eV per atom) = 2.127

abc: 5.5942 4.1931 8.8222
angles: 90.00 108.48 90.00
Last column: nearest neighbours and their distance in Å.
Element x y z (fractional)
Ce (0.4495, 0.7500, 0.8991)  2 Ce 2.69
Ce (0.5505, 0.2500, 0.1009)  2 Ce 2.69
Ac (0.7278, 0.7500, 0.4555)  4 Ac 3.57, 2 Ce 3.63, 4 Sc 3.75-3.87
Ac (0.2722, 0.2500, 0.5445)  4 Ac 3.57, 2 Ce 3.63, 4 Sc 3.75-3.87
Sc (0.9218, 0.2500, 0.8436)  2 Sc 3.35, 6 Ce 3.53, 2 Ac 3.75
Sc (0.0782, 0.7500, 0.1564)  2 Sc 3.35, 6 Ce 3.53, 2 Ac 3.75

***

3.
This record from Alexandria via LeMat-Bulk describes AcCeSc2 after structural relaxation. The functional is PBE-GGA.

- energy of formation (meV/atom) = 144
- D(E_F) (states/eV per atom) = 1.902

abc: 4.4083 5.2602 5.2602
angles: 90.00 90.00 90.00
Last column: nearest neighbours and their distance in Å.
Element x y z (fractional)
Sc (0.0000, 0.0000, 0.5000)  4 Ac 3.43, 4 Ce 3.43, 4 Sc 3.72
Sc (0.0000, 0.5000, 0.0000)  4 Ac 3.43, 4 Ce 3.43, 4 Sc 3.72
Ac (0.5000, 0.0000, 0.0000)  8 Sc 3.43, 4 Ce 3.72
Ce (0.5000, 0.5000, 0.5000)  8 Sc 3.43, 4 Ac 3.72

***

4.
This record from Alexandria via LeMat-Bulk describes AcCeSc after structural relaxation. The functional is PBE-GGA.

- energy of formation (meV/atom) = 188
- D(E_F) (states/eV per atom) = 2.455

abc: 3.6123 3.6123 8.5838
angles: 90.00 90.00 120.00
Last column: nearest neighbours and their distance in Å.
Element x y z (fractional)
Sc (0.6667, 0.3333, 0.3441)  3 Ce 3.36, 3 Ac 3.58, 6 Sc 3.61
Ac (0.0000, 0.0000, 0.0045)  3 Sc 3.58, 6 Ac 3.61, 3 Ce 3.68
Ce (0.3333, 0.6667, 0.6513)  3 Sc 3.36, 6 Ce 3.61, 3 Ac 3.68